Density functional theory data (PBE) for La6Ag2RhC after structural relaxation.

The calculation puts the density of states at the Fermi level at 9.83 states/eV/f.u. The calculated volume comes out at 29.31 Å³/atom. For the total energy, the calculation gives -109.23 eV per cell. The value obtained for the formation enthalpy at 0 K is -2.8 eV/f.u.

The structure belongs to space group P2_1/c (No. 14); the cell edges are 7.0691, 7.8116 and 12.6251 Å and the angles 90.00°, 122.76° and 90.00°. Symmetry generates all atoms from La at (0.1286, 0.0245, 0.2386), La at (0.2169, 0.7051, 0.0511), La at (0.3571, 0.1797, 0.0535), Ag at (0.2948, 0.0908, 0.7472), Rh at (0.5000, 0.0000, 0.5000) and C at (0.0000, 0.0000, 0.0000).